[1]
Material: NaTl2GaI5
Method: DFT, GGA-PBE
State: relaxed

Lattice parameters (Å, degrees): 5.052 20.656 14.126 90.00 90.00 90.00
Space group Cmc2_1 (No. 36)
Unique sites:
Na1 0.000 0.207 0.000 (multiplicity 4)
Tl1 0.000 0.130 0.298 (multiplicity 4)
Tl2 0.000 0.135 0.649 (multiplicity 4)
Ga1 0.000 0.442 0.404 (multiplicity 4)
I1 0.000 0.043 0.981 (multiplicity 4)
I2 0.000 0.300 0.644 (multiplicity 4)
I3 0.000 0.315 0.339 (multiplicity 4)
I4 0.000 0.357 0.980 (multiplicity 4)
I5 0.000 0.496 0.737 (multiplicity 4)

Summary:
Formation energy (no corrections)   -0.6839 eV/atom
Fermi-level density of states   5.53 states/eV per cell
Calculated total energy   -91.936 eV for the cell shown

---

[2]
Material: MnVP3
Method: DFT, GGA-PBE
State: relaxed

Lattice parameters (Å, degrees): 4.534 4.534 4.534 90.00 90.00 90.00
Space group Pm-3m (No. 221)
Unique sites:
Mn1 0.000 0.000 0.000 (multiplicity 1)
V1 0.500 0.500 0.500 (multiplicity 1)
P1 0.000 0.500 0.500 (multiplicity 3)

Summary:
ΔH_f (0 K)   10.478 kcal/mol of atoms
Fermi-level density of states   2.16 states/eV per cell
Calculated total energy   -32.246 eV for the cell shown
Energy relative to the lowest polymorph listed for this composition   0.000 eV per atom

---

[3]
Material: BaPd2F
Method: DFT, GGA-PBE
State: relaxed

Lattice parameters (Å, degrees): 3.763 3.763 24.691 90.00 90.00 90.00
Space group I-42d (No. 122)
Unique sites:
Ba1 0.000 0.000 0.000 (multiplicity 4)
Pd1 0.250 0.250 0.125 (multiplicity 8)
F1 0.000 0.000 0.500 (multiplicity 4)

Summary:
Formation energy (no corrections)   -1.2774 eV/atom
Fermi-level density of states   10.71 states/eV per cell
Calculated total energy   -77.157 eV for the cell shown
Energy relative to the lowest polymorph listed for this composition   0.000 eV per atom

---

Copy entry 2 word for word.
Material: MnVP3
Method: DFT, GGA-PBE
State: relaxed

Lattice parameters (Å, degrees): 4.534 4.534 4.534 90.00 90.00 90.00
Space group Pm-3m (No. 221)
Unique sites:
Mn1 0.000 0.000 0.000 (multiplicity 1)
V1 0.500 0.500 0.500 (multiplicity 1)
P1 0.000 0.500 0.500 (multiplicity 3)

Summary:
ΔH_f (0 K)   10.478 kcal/mol of atoms
Fermi-level density of states   2.16 states/eV per cell
Calculated total energy   -32.246 eV for the cell shown
Energy relative to the lowest polymorph listed for this composition   0.000 eV per atom